Entry 1:
The following is a DFT calculation (PBE-GGA) of a geometry-optimized Na2CaHgBr6 structure.

## Properties
Formation energy (no corrections), kJ/mol of atoms: -128

a b c (Å): 7.8609 7.8609 7.8609
angles (deg): 56.28 56.28 56.28
Fractional positions:
Na 0.0000 0.0000 0.0000
Na 0.4971 0.4971 0.4971
Ca 0.6972 0.6972 0.6972
Hg 0.1989 0.1989 0.1989
Br 0.0869 0.8068 0.4132
Br 0.3033 0.5811 0.9187
Br 0.4132 0.0869 0.8068
Br 0.5811 0.9187 0.3033
Br 0.8068 0.4132 0.0869
Br 0.9187 0.3033 0.5811

***

Entry 2:
The following is a DFT calculation (PBE-GGA) of a geometry-optimized MgSn3As structure.

## Properties
Relative energy among the computed polymorphs, eV/atom: 0.000
ΔH_f (0 K), eV/f.u.: 2.23

a b c (Å): 5.4538 5.4538 5.4538
angles (deg): 90.00 90.00 90.00
Fractional positions:
Mg 0.0000 0.0000 0.0000
Sn 0.0000 0.5000 0.5000
Sn 0.5000 0.0000 0.5000
Sn 0.5000 0.5000 0.0000
As 0.5000 0.5000 0.5000

***

Entry 3:
The following is a DFT calculation (PBE-GGA) of a geometry-optimized NaCaHgPb structure.

## Properties
Relative energy among the computed polymorphs, eV/atom: 0.083
ΔH_f (0 K), eV/f.u.: -1.08

a b c (Å): 3.4844 3.7354 9.4088
angles (deg): 90.00 90.00 90.00
Fractional positions:
Na 0.0000 0.0000 0.0000
Ca 0.5000 0.0000 0.5216
Hg 0.0000 0.5000 0.7315
Pb 0.0000 0.5000 0.2788

***

Entry 4:
The following is a DFT calculation (PBE-GGA) of a geometry-optimized TbPmNdAg structure.

## Properties
Relative energy among the computed polymorphs, eV/atom: 0.220
ΔH_f (0 K), eV/f.u.: 0.39

a b c (Å): 5.4824 5.4824 5.4824
angles (deg): 60.00 60.00 60.00
Fractional positions:
Tb 0.0000 0.0000 0.0000
Pm 0.2500 0.2500 0.2500
Nd 0.5000 0.5000 0.5000
Ag 0.7500 0.7500 0.7500

***

Calculated N(E_F) in order - 0.000 0.626 0.364 1.719 states/eV per atom
Calculated magnetization in order - 0.00 0.00 0.00 0.00 μB per formula unit
Calculated theoretical density in order - 4.052 4.661 6.385 7.924 Mg/m³